The following is a PBE calculation of crystalline InCuTePtS2 at its relaxed geometry, from the Open Quantum Materials Database.

CIF file:
```
data_InCuTePtS2
_cell_length_a 3.588
_cell_length_b 13.788
_cell_length_c 10.763
_cell_angle_alpha 90.00
_cell_angle_beta 90.00
_cell_angle_gamma 90.00
_symmetry_space_group_name_H-M 'C m c m'
_symmetry_Int_Tables_number 63
_symmetry_space_group_name_Hall '-C 2c 2'
loop_
_atom_site_label
_atom_site_type_symbol
_atom_site_fract_x
_atom_site_fract_y
_atom_site_fract_z
In1 In 0.000 0.231 0.250
Cu1 Cu 0.000 0.118 0.750
Te1 Te 0.000 0.456 0.750
Pt1 Pt 0.000 0.500 0.000
S1 S 0.000 0.113 0.534
```

Values from the calculation:
The magnetic moment comes out at 0.0 μB/cell. For the uncorrected energy, the calculation gives -4.179 eV per atom.